A geometry-optimized ScBeMo2 structure, computed with PBE.

Cell: 2.7269 2.7269 8.2207 Å, 90.00 90.00 90.00°
Space group P4/mmm (No. 123)
Unique sites:
Sc: 0.0000 0.0000 0.0000
Be: 0.0000 0.0000 0.5000
Mo: 0.5000 0.5000 0.2955

## Properties
As for the crystal system: tetragonal. As for the total magnetization: 0.00 μB per cell. The value obtained for the formation energy is 0.148 eV per atom.